No. 1
# TaMo3, optimized geometry, DFT PBEsol
# final energy = -96.3 eV per cell
# space-group type = R-3m, No. 166
data_TaMo3
_cell_length_a 4.476
_cell_length_b 4.476
_cell_length_c 7.723
_cell_angle_alpha 73.15
_cell_angle_beta 73.15
_cell_angle_gamma 60.00
_space_group_name_H-M_alt 'P 1'
_space_group_IT_number 1
loop_
_space_group_symop_operation_xyz
'x,y,z'
loop_
_atom_site_label
_atom_site_fract_x
_atom_site_fract_y
_atom_site_fract_z
_atom_site_occupancy
Mo1 0.814 0.814 0.559 1
Mo2 0.936 0.936 0.192 1
Mo3 0.561 0.561 0.316 1
Mo4 0.064 0.064 0.808 1
Mo5 0.186 0.186 0.441 1
Mo6 0.439 0.439 0.684 1
Ta1 0.311 0.311 0.067 1
Ta2 0.689 0.689 0.933 1

***

No. 2
# ZrTlSe2, optimized geometry, DFT PBEsol
# uncorrected formation energy = -444 meV per atom
# space-group type = P4/mmm, No. 123
data_ZrTlSe2
_cell_length_a 3.450
_cell_length_b 4.954
_cell_length_c 4.954
_cell_angle_alpha 90.00
_cell_angle_beta 90.00
_cell_angle_gamma 90.00
_space_group_name_H-M_alt 'P 1'
_space_group_IT_number 1
loop_
_space_group_symop_operation_xyz
'x,y,z'
loop_
_atom_site_label
_atom_site_fract_x
_atom_site_fract_y
_atom_site_fract_z
_atom_site_occupancy
Se1 0.000 0.000 0.500 1
Se2 0.000 0.500 0.000 1
Tl1 0.500 0.500 0.500 1
Zr1 0.500 0.000 0.000 1

***

Mass density (kg/m3)
12328, 8893